# 1
Below is an optimized crystal structure of Sr2Ga3Pd4Pb, with properties calculated at the PBE level.

Cell lengths 4.552, 4.552, 10.498 Å; angles 90.00, 90.00, 90.00 degrees
Fractional positions:
1 Pd 0.500 0.500 0.000
2 Pd 0.000 0.500 0.352
3 Pd 0.000 0.000 0.000
4 Pd 0.500 0.000 0.648
5 Ga 0.000 0.500 0.112
6 Ga 0.500 0.000 0.888
7 Ga 0.000 0.000 0.500
8 Pb 0.500 0.500 0.500
9 Sr 0.500 0.000 0.236
10 Sr 0.000 0.500 0.764

Computed properties:
**E**: -4.35 eV/atom
**SG**: No. 115
**Calculated formation energy**: -0.658 eV per atom

# 2
Below is an optimized crystal structure of Hg2Cl3, with properties calculated at the PBE level.

Cell lengths 5.403, 5.403, 5.232 Å; angles 90.00, 90.00, 120.00 degrees
Fractional positions:
1 Cl 0.000 0.000 0.000
2 Cl 0.667 0.333 0.670
3 Cl 0.333 0.667 0.330
4 Hg 0.667 0.333 0.177
5 Hg 0.333 0.667 0.823

Computed properties:
**E**: -1.49 eV/atom
**SG**: No. 164
**Excess energy over the best structure of this formula in the dataset**: 117 meV/atom
**Energy relative to the elements, uncorrected**: -0.26 eV/atom

# 3
Below is an optimized crystal structure of Tb2Pr6NdMg, with properties calculated at the PBE level.

Cell lengths 9.575, 8.705, 8.705 Å; angles 105.63, 96.32, 96.32 degrees
Fractional positions:
1 Mg 0.250 0.402 0.598
2 Mg 0.750 0.598 0.402
3 Pr 0.328 0.034 0.461
4 Pr 0.172 0.539 0.966
5 Pr 0.672 0.966 0.539
6 Pr 0.904 0.328 0.563
7 Pr 0.575 0.739 0.079
8 Pr 0.828 0.461 0.034
9 Pr 0.075 0.079 0.739
10 Pr 0.096 0.672 0.437
11 Pr 0.925 0.921 0.261
12 Pr 0.425 0.261 0.921
13 Pr 0.404 0.563 0.328
14 Pr 0.596 0.437 0.672
15 Tb 0.405 0.799 0.732
16 Tb 0.905 0.732 0.799
17 Tb 0.595 0.201 0.268
18 Tb 0.095 0.268 0.201
19 Nd 0.750 0.065 0.935
20 Nd 0.250 0.935 0.065

Computed properties:
**E**: -4.33 eV/atom
**SG**: No. 15
**Calculated formation energy**: 0.100 eV per atom